[1]
MgZrSc2: optimized geometry, PBE.

The value obtained for the energy of formation from the pure elements is 0.060 eV per atom.

The space group is Cmmm (No. 65) and the conventional cell measures 6.5839, 8.9931 and 3.1755 Å, with angles of 90.00, 90.00 and 90.00 degrees. The asymmetric unit holds Mg at (0.0000, 0.0000, 0.0000), Zr at (0.0000, 0.5000, 0.0000) and Sc at (0.2500, 0.2500, 0.5000).

=====

[2]
LaErAu: optimized geometry, PBE.

As for the polymorph energy (0 for the lowest one): 0.02 kcal/mol of atoms. The value obtained for the energy of formation from the pure elements is -0.598 eV per atom.

The space group is Pnma (No. 62) and the conventional cell measures 8.2499, 4.9250 and 8.4156 Å, with angles of 90.00, 90.00 and 90.00 degrees. The asymmetric unit holds La at (0.0396, 0.2500, 0.1569), Er at (0.1408, 0.2500, 0.5776) and Au at (0.2093, 0.7500, 0.3903).

=====

[3]
Pr7Tl5Bi: optimized geometry, PBE.

The value obtained for the energy of formation from the pure elements is -0.257 eV per atom.

The space group is Imm2 (No. 44) and the conventional cell measures 6.6681, 11.4081 and 11.1332 Å, with angles of 90.00, 90.00 and 90.00 degrees. The asymmetric unit holds Pr at (0.0000, 0.0000, 0.0000), Pr at (0.0000, 0.0000, 0.3850), Pr at (0.0000, 0.3187, 0.6014), Pr at (0.0000, 0.3341, 0.0793), Pr at (0.0000, 0.5000, 0.3257), Tl at (0.0000, 0.5000, 0.8290), Tl at (0.2501, 0.2441, 0.8456) and Bi at (0.0000, 0.0000, 0.6802).

=====

[4]
Tb3Nd4HoS8: optimized geometry, PBE.

Its raw formation energy is -2014 meV/atom.

The space group is R-3m (No. 166, hexagonal axes) and the conventional cell measures 7.9384, 7.9384 and 19.8202 Å, with angles of 90.00, 90.00 and 120.00 degrees. The asymmetric unit holds Tb at (0.0000, 0.5000, 0.0000), Nd at (0.0000, 0.0000, 0.5000), Nd at (0.0000, 0.5000, 0.5000), Ho at (0.0000, 0.0000, 0.0000), S at (0.0000, 0.0000, 0.2548) and S at (0.0021, 0.5011, 0.7447).